Record 1
{
  "formula": "ScBe2Ir2",
  "functional": "PBE",
  "state": "relaxed",
  "magmom_total_mub_per_cell": 0.0,
  "space_group": "I4/mmm (139)",
  "de_polymorph_mev_per_atom": 242,
  "dft_energy_ev_per_atom": -6.796,
  "vol_a3_per_cell": 71.3,
  "crystal_system": "tetragonal",
  "formation_energy_ev_per_fu": -2.5,
  "lattice": [[-1.885, 1.885, 5.014], [1.885, -1.885, 5.014], [1.885, 1.885, -5.014]],
  "species": ["Sc", "Be", "Be", "Ir", "Ir"],
  "frac_coords": [[0.000, 0.000, 0.000], [0.250, 0.750, 0.500], [0.750, 0.250, 0.500], [0.374, 0.374, 0.000], [0.626, 0.626, 0.000]]
}

Record 2
{
  "formula": "DyCo2Si",
  "functional": "PBE",
  "state": "relaxed",
  "e_form_raw_ev_per_atom": -0.50,
  "magmom_total_mub_per_cell": 0.0,
  "space_group": "R-3m (166)",
  "dft_energy_ev_per_atom": -6.559,
  "vol_a3_per_cell": 64.2,
  "crystal_system": "trigonal",
  "lattice": [[1.985, 1.146, 4.699], [-1.985, 1.146, 4.699], [0.000, -2.293, 4.699]],
  "species": ["Dy", "Co", "Co", "Si"],
  "frac_coords": [[0.000, 0.000, 0.000], [0.195, 0.195, 0.195], [0.805, 0.805, 0.805], [0.500, 0.500, 0.500]]
}

Record 3
{
  "formula": "Cs2PrB2Se6",
  "functional": "PBE",
  "state": "relaxed",
  "e_form_raw_ev_per_atom": -0.78,
  "magmom_total_mub_per_cell": 0.0,
  "space_group": "C2/m (12)",
  "dft_energy_ev_per_atom": -4.485,
  "vol_a3_per_cell": 376.6,
  "crystal_system": "monoclinic",
  "lattice": [[6.424, -3.538, 0.000], [6.424, 3.538, 0.000], [-4.412, 0.000, 8.285]],
  "species": ["Cs", "Cs", "Pr", "B", "B", "Se", "Se", "Se", "Se", "Se", "Se"],
  "frac_coords": [[0.204, 0.204, 0.174], [0.796, 0.796, 0.826], [0.000, 0.000, 0.500], [0.423, 0.423, 0.711], [0.577, 0.577, 0.289], [0.250, 0.715, 0.242], [0.258, 0.258, 0.658], [0.285, 0.750, 0.758], [0.715, 0.250, 0.242], [0.742, 0.742, 0.342], [0.750, 0.285, 0.758]]
}

Record 4
{
  "formula": "SrThZnPd",
  "functional": "PBE",
  "state": "relaxed",
  "magmom_total_mub_per_cell": 0.0,
  "space_group": "F-43m (216)",
  "dft_energy_ev_per_atom": -4.178,
  "vol_a3_per_cell": 101.5,
  "crystal_system": "cubic",
  "formation_energy_ev_per_fu": -1.1,
  "lattice": [[0.000, 3.702, 3.702], [3.702, 0.000, 3.702], [3.702, 3.702, 0.000]],
  "species": ["Sr", "Th", "Zn", "Pd"],
  "frac_coords": [[0.000, 0.000, 0.000], [0.500, 0.500, 0.500], [0.250, 0.250, 0.250], [0.750, 0.750, 0.750]]
}